(1)
Material: CaB2H10N2
Method: DFT, PBE-GGA
State: relaxed

abc: 5.1138 5.1138 6.5285
angles: 93.16 93.16 50.52
Atoms (fractional coordinates):
Ca  0.0000  0.0000  0.0000
B  0.3092  0.3551  0.7921
B  0.6449  0.6908  0.2079
H  0.1569  0.1239  0.5955
H  0.2336  0.6081  0.7077
H  0.3078  0.4058  0.9817
H  0.3919  0.7664  0.2923
H  0.5219  0.1646  0.3041
H  0.5942  0.6922  0.0183
H  0.6026  0.1160  0.7453
H  0.8354  0.4781  0.6959
H  0.8761  0.8431  0.4045
H  0.8840  0.3974  0.2547
N  0.0776  0.2657  0.7290
N  0.7343  0.9224  0.2710

Output
The value obtained for the density of states at the Fermi level is 0.0 states/eV/f.u. The space group is C2. As for the magnetic moment: 0.0 μB/f.u. The mass density is 1.3 g cm⁻³. As for the total energy: -4.827 eV/atom.



(2)
Material: NaCaB5H10O14
Method: DFT, PBE-GGA
State: relaxed

abc: 6.6195 12.6828 13.5142
angles: 90.00 99.63 90.00
Atoms (fractional coordinates):
Na  0.1045  0.0020  0.3262
Na  0.1045  0.4980  0.8262
Na  0.8955  0.5020  0.1738
Na  0.8955  0.9980  0.6738
Ca  0.3509  0.0863  0.0966
Ca  0.3509  0.4137  0.5966
Ca  0.6491  0.5863  0.4034
Ca  0.6491  0.9137  0.9034
B  0.1188  0.6501  0.5446
B  0.1188  0.8499  0.0446
B  0.1506  0.0599  0.8668
B  0.1506  0.4401  0.3668
B  0.2448  0.1926  0.7463
B  0.2448  0.3074  0.2463
B  0.3374  0.7421  0.9484
B  0.3374  0.7579  0.4484
B  0.4990  0.6447  0.6036
B  0.4990  0.8553  0.1036
B  0.5010  0.1447  0.8964
B  0.5010  0.3553  0.3964
B  0.6626  0.2421  0.5516
B  0.6626  0.2579  0.0516
B  0.7552  0.6926  0.7537
B  0.7552  0.8074  0.2537
B  0.8494  0.5599  0.6332
B  0.8494  0.9401  0.1332
B  0.8812  0.1501  0.9554
B  0.8812  0.3499  0.4554
H  0.0486  0.1811  0.4636
H  0.0486  0.3189  0.9636
H  0.0631  0.2484  0.6197
H  0.0631  0.2516  0.1197
H  0.1444  0.5987  0.3408
H  0.1444  0.9013  0.8408
H  0.2112  0.0578  0.5437
H  0.2112  0.4422  0.0437
H  0.2754  0.5587  0.0388
H  0.2754  0.9413  0.5388
H  0.2814  0.1975  0.4560
H  0.2814  0.3025  0.9560
H  0.3562  0.7474  0.2956
H  0.3562  0.7526  0.7956
H  0.4407  0.1473  0.3007
H  0.4407  0.3527  0.8007
H  0.4503  0.5374  0.1821
H  0.4503  0.9626  0.6821
H  0.4761  0.6010  0.9244
H  0.4761  0.8990  0.4244
H  0.5239  0.1010  0.5756
H  0.5239  0.3990  0.0756
H  0.5497  0.0374  0.3179
H  0.5497  0.4626  0.8179
H  0.5593  0.6473  0.1993
H  0.5593  0.8527  0.6993
H  0.6438  0.2474  0.2044
H  0.6438  0.2526  0.7044
H  0.7186  0.6975  0.0440
H  0.7186  0.8025  0.5440
H  0.7246  0.0587  0.4612
H  0.7246  0.4413  0.9612
H  0.7888  0.5578  0.9563
H  0.7888  0.9422  0.4563
H  0.8556  0.0987  0.1592
H  0.8556  0.4013  0.6592
H  0.9369  0.7484  0.8803
H  0.9369  0.7516  0.3803
H  0.9514  0.6811  0.0364
H  0.9514  0.8189  0.5364
O  0.0460  0.5410  0.3456
O  0.0460  0.9590  0.8456
O  0.0754  0.1168  0.9514
O  0.0754  0.3832  0.4514
O  0.1021  0.1266  0.7736
O  0.1021  0.3734  0.2736
O  0.1396  0.7364  0.4833
O  0.1396  0.7636  0.9833
O  0.1689  0.1436  0.4468
O  0.1689  0.3564  0.9468
O  0.2029  0.2460  0.1597
O  0.2029  0.2540  0.6597
O  0.2425  0.5054  0.0883
O  0.2425  0.9946  0.5883
O  0.2879  0.6032  0.5997
O  0.2879  0.8968  0.0997
O  0.3363  0.7012  0.3511
O  0.3363  0.7988  0.8511
O  0.3422  0.6259  0.9355
O  0.3422  0.8741  0.4355
O  0.3733  0.0497  0.8996
O  0.3733  0.4503  0.3996
O  0.4247  0.0722  0.2809
O  0.4247  0.4278  0.7809
O  0.4392  0.2051  0.8008
O  0.4392  0.2949  0.3008
O  0.4872  0.2158  0.9817
O  0.4872  0.2842  0.4817
O  0.5128  0.7158  0.5183
O  0.5128  0.7842  0.0183
O  0.5608  0.7051  0.6992
O  0.5608  0.7949  0.1992
O  0.5753  0.5722  0.2191
O  0.5753  0.9278  0.7191
O  0.6267  0.5497  0.6004
O  0.6267  0.9503  0.1004
O  0.6578  0.1259  0.5645
O  0.6578  0.3741  0.0645
O  0.6637  0.2012  0.1489
O  0.6637  0.2988  0.6489
O  0.7121  0.1032  0.9003
O  0.7121  0.3968  0.4003
O  0.7575  0.0054  0.4117
O  0.7575  0.4946  0.9117
O  0.7971  0.7460  0.3403
O  0.7971  0.7540  0.8403
O  0.8311  0.6436  0.0532
O  0.8311  0.8564  0.5532
O  0.8604  0.2364  0.0167
O  0.8604  0.2636  0.5167
O  0.8979  0.6266  0.7264
O  0.8979  0.8734  0.2264
O  0.9246  0.6168  0.5486
O  0.9246  0.8832  0.0486
O  0.9540  0.0410  0.1543
O  0.9540  0.4590  0.6544

Output
The value obtained for the density of states at the Fermi level is 0.0 states/eV/f.u. The space group is P2_1/c. As for the magnetic moment: 0.0 μB/f.u. The mass density is 2.1 g cm⁻³. As for the total energy: -6.335 eV/atom.



(3)
Material: CaB5H3O10
Method: DFT, PBE-GGA
State: relaxed

abc: 6.6031 19.9502 6.6248
angles: 90.00 119.27 90.00
Atoms (fractional coordinates):
Ca  0.1844  0.1925  0.0599
Ca  0.1844  0.3075  0.5599
Ca  0.8156  0.6925  0.4401
Ca  0.8156  0.8075  0.9401
B  0.0861  0.1557  0.5681
B  0.0861  0.3443  0.0681
B  0.2238  0.6836  0.3259
B  0.2238  0.8164  0.8259
B  0.3176  0.0514  0.6598
B  0.3176  0.4486  0.1598
B  0.3189  0.6726  0.0162
B  0.3189  0.8274  0.5162
B  0.4879  0.6595  0.7475
B  0.4879  0.8405  0.2475
B  0.5121  0.1595  0.7525
B  0.5121  0.3405  0.2525
B  0.6811  0.1726  0.4838
B  0.6811  0.3274  0.9838
B  0.6824  0.5514  0.8402
B  0.6824  0.9486  0.3402
B  0.7762  0.1836  0.1741
B  0.7762  0.3164  0.6741
B  0.9139  0.6557  0.9319
B  0.9139  0.8443  0.4319
H  0.1415  0.0473  0.1593
H  0.1415  0.4527  0.6593
H  0.1740  0.5400  0.0862
H  0.1740  0.9600  0.5862
H  0.3914  0.0539  0.1879
H  0.3914  0.4461  0.6879
H  0.6086  0.5539  0.3121
H  0.6086  0.9461  0.8121
H  0.8260  0.0400  0.4138
H  0.8260  0.4600  0.9138
H  0.8585  0.5473  0.3407
H  0.8585  0.9527  0.8407
O  0.0076  0.1908  0.3388
O  0.0076  0.3092  0.8388
O  0.0892  0.6667  0.8563
O  0.0892  0.8333  0.3563
O  0.1044  0.0834  0.5380
O  0.1044  0.4166  0.0380
O  0.2325  0.0739  0.1092
O  0.2325  0.4261  0.6092
O  0.2756  0.6875  0.5501
O  0.2756  0.8125  0.0501
O  0.2982  0.1880  0.7417
O  0.2982  0.3120  0.2417
O  0.3282  0.5178  0.1603
O  0.3282  0.9822  0.6603
O  0.3886  0.6735  0.2554
O  0.3886  0.8265  0.7554
O  0.4812  0.5866  0.7249
O  0.4812  0.9134  0.2249
O  0.4944  0.6788  0.9682
O  0.4944  0.8212  0.4682
O  0.5056  0.1788  0.5318
O  0.5056  0.3212  0.0318
O  0.5188  0.0866  0.7751
O  0.5188  0.4134  0.2751
O  0.6114  0.1735  0.2446
O  0.6114  0.3265  0.7446
O  0.6718  0.0178  0.3397
O  0.6718  0.4822  0.8397
O  0.7018  0.6880  0.7583
O  0.7018  0.8120  0.2583
O  0.7244  0.1875  0.9499
O  0.7244  0.3125  0.4499
O  0.7675  0.5739  0.3908
O  0.7675  0.9261  0.8908
O  0.8956  0.5834  0.9620
O  0.8956  0.9166  0.4620
O  0.9108  0.1667  0.6437
O  0.9108  0.3333  0.1437
O  0.9924  0.6908  0.1612
O  0.9924  0.8092  0.6612

Output
The value obtained for the density of states at the Fermi level is 0.0 states/eV/f.u. The space group is P2_1/c. As for the magnetic moment: 0.0 μB/f.u. The mass density is 2.2 g cm⁻³. As for the total energy: -7.227 eV/atom.



(4)
Material: CaB3HO6
Method: DFT, PBE-GGA
State: relaxed

abc: 13.6013 7.0177 4.4391
angles: 90.00 90.00 90.00
Atoms (fractional coordinates):
Ca  0.0943  0.2038  0.0000
Ca  0.4057  0.7038  0.5000
Ca  0.5943  0.2962  0.0000
Ca  0.9057  0.7962  0.5000
B  0.0719  0.7133  0.0283
B  0.1445  0.8435  0.5482
B  0.2305  0.5934  0.8334
B  0.2695  0.0934  0.3334
B  0.3555  0.3435  0.0482
B  0.4281  0.2133  0.5283
B  0.5719  0.7867  0.0283
B  0.6445  0.6565  0.5482
B  0.7305  0.9066  0.8334
B  0.7695  0.4066  0.3334
B  0.8555  0.1565  0.0482
B  0.9281  0.2867  0.5283
H  0.0460  0.4818  0.4672
H  0.4540  0.9818  0.9672
H  0.5460  0.0182  0.4672
H  0.9540  0.5182  0.9672
O  0.0317  0.3446  0.4532
O  0.0705  0.7549  0.3517
O  0.0968  0.8799  0.8420
O  0.1425  0.5497  0.9708
O  0.1783  0.0254  0.4145
O  0.2327  0.7205  0.5959
O  0.2673  0.2205  0.0959
O  0.3217  0.5254  0.9145
O  0.3575  0.0497  0.4708
O  0.4032  0.3799  0.3420
O  0.4295  0.2549  0.8517
O  0.4683  0.8446  0.9532
O  0.5317  0.1554  0.4532
O  0.5705  0.7451  0.3517
O  0.5968  0.6201  0.8420
O  0.6425  0.9503  0.9708
O  0.6783  0.4746  0.4145
O  0.7327  0.7795  0.5959
O  0.7673  0.2795  0.0959
O  0.8217  0.9746  0.9145
O  0.8575  0.4503  0.4708
O  0.9032  0.1201  0.3420
O  0.9295  0.2451  0.8517
O  0.9683  0.6554  0.9532

Output
The value obtained for the density of states at the Fermi level is 0.0 states/eV/f.u. The space group is Pna2_1. As for the magnetic moment: 0.0 μB/f.u. The mass density is 2.7 g cm⁻³. As for the total energy: -7.460 eV/atom.



(5)
Material: CaB2H10O9
Method: DFT, PBE-GGA
State: relaxed

abc: 6.5187 7.8187 8.1223
angles: 69.20 68.48 73.78
Atoms (fractional coordinates):
Ca  0.0954  0.0033  0.2354
Ca  0.9046  0.9967  0.7646
B  0.1238  0.3207  0.8422
B  0.3510  0.9968  0.7921
B  0.6490  0.0032  0.2079
B  0.8762  0.6793  0.1578
H  0.0893  0.6729  0.6038
H  0.1503  0.2520  0.4232
H  0.1762  0.4010  0.0402
H  0.2106  0.6954  0.0482
H  0.2646  0.4940  0.2730
H  0.3070  0.4330  0.4766
H  0.3774  0.4805  0.6935
H  0.3972  0.9245  0.4435
H  0.4108  0.7675  0.6997
H  0.4918  0.1779  0.0073
H  0.5082  0.8221  0.9927
H  0.5892  0.2325  0.3003
H  0.6028  0.0755  0.5565
H  0.6226  0.5195  0.3065
H  0.6930  0.5670  0.5234
H  0.7354  0.5060  0.7270
H  0.7894  0.3046  0.9518
H  0.8238  0.5990  0.9598
H  0.8497  0.7480  0.5768
H  0.9107  0.3271  0.3962
O  0.0109  0.2095  0.4441
O  0.1190  0.5952  0.1202
O  0.1535  0.1445  0.8058
O  0.2053  0.2854  0.0032
O  0.2395  0.4654  0.6805
O  0.3030  0.8854  0.6969
O  0.3553  0.8810  0.9836
O  0.3645  0.4121  0.3505
O  0.4308  0.9420  0.3102
O  0.5692  0.0580  0.6898
O  0.6355  0.5879  0.6495
O  0.6447  0.1190  0.0164
O  0.6970  0.1146  0.3031
O  0.7605  0.5346  0.3195
O  0.7947  0.7146  0.9968
O  0.8465  0.8555  0.1942
O  0.8810  0.4048  0.8798
O  0.9891  0.7905  0.5559

Output
The value obtained for the density of states at the Fermi level is 0.0 states/eV/f.u. The space group is P-1. As for the magnetic moment: 0.0 μB/f.u. The mass density is 2.0 g cm⁻³. As for the total energy: -5.843 eV/atom.



(6)
Material: CaBHO3
Method: DFT, PBE-GGA
State: relaxed

abc: 3.5962 9.5989 8.1752
angles: 90.00 111.58 90.00
Atoms (fractional coordinates):
Ca  0.0779  0.0072  0.2886
Ca  0.0779  0.4928  0.7886
Ca  0.9221  0.5072  0.2114
Ca  0.9221  0.9928  0.7114
B  0.2869  0.2373  0.0733
B  0.2869  0.2627  0.5733
B  0.7131  0.7373  0.4267
B  0.7131  0.7627  0.9267
H  0.2052  0.7397  0.6514
H  0.2052  0.7603  0.1514
H  0.7948  0.2397  0.8486
H  0.7948  0.2603  0.3486
O  0.0074  0.6692  0.5708
O  0.0074  0.8308  0.0708
O  0.3097  0.1197  0.5734
O  0.3097  0.3803  0.0734
O  0.4824  0.6536  0.2914
O  0.4824  0.8464  0.7914
O  0.5176  0.1536  0.2086
O  0.5176  0.3464  0.7086
O  0.6903  0.6197  0.9266
O  0.6903  0.8803  0.4266
O  0.9926  0.1692  0.9292
O  0.9926  0.3308  0.4292

Output
For the energy above the lowest structure with this stoichiometry, the calculation gives 0.000 eV/atom. The value obtained for the density of states at the Fermi level is 0.0 states/eV/f.u. The space group is P2_1/c. As for the magnetic moment: 0.0 μB/f.u. The mass density is 2.5 g cm⁻³. As for the total energy: -6.902 eV/atom.



(7)
Material: CaBHO3
Method: DFT, PBE-GGA
State: relaxed

abc: 3.6036 5.4386 6.8270
angles: 90.00 92.48 90.00
Atoms (fractional coordinates):
Ca  0.2491  0.0000  0.1440
Ca  0.7509  0.5000  0.8560
B  0.2740  0.9949  0.7276
B  0.7260  0.4949  0.2724
H  0.4572  0.8105  0.5022
H  0.5428  0.3105  0.4978
O  0.2376  0.2207  0.8104
O  0.2422  0.7813  0.8319
O  0.3753  0.9807  0.5274
O  0.6247  0.4807  0.4726
O  0.7578  0.2813  0.1681
O  0.7624  0.7207  0.1896

Output
For the energy above the lowest structure with this stoichiometry, the calculation gives 0.013 eV/atom. The value obtained for the density of states at the Fermi level is 0.0 states/eV/f.u. The space group is P2_1. As for the magnetic moment: 0.0 μB/f.u. The mass density is 2.5 g cm⁻³. As for the total energy: -6.889 eV/atom.



(8)
Material: CaB2H2O7
Method: DFT, PBE-GGA
State: relaxed

abc: 6.1981 6.4488 7.1074
angles: 74.00 70.43 84.96
Atoms (fractional coordinates):
Ca  0.2040  0.2034  0.4095
Ca  0.7960  0.7966  0.5905
B  0.3314  0.6634  0.4445
B  0.3352  0.6471  0.0724
B  0.6648  0.3529  0.9276
B  0.6686  0.3366  0.5555
H  0.2427  0.5402  0.8557
H  0.4279  0.1430  0.9819
H  0.5721  0.8570  0.0181
H  0.7573  0.4598  0.1443
O  0.0233  0.0116  0.0742
O  0.1893  0.8366  0.4879
O  0.2155  0.5361  0.0035
O  0.2663  0.4725  0.6364
O  0.3028  0.5760  0.2797
O  0.4192  0.2790  0.6077
O  0.4884  0.8150  0.9391
O  0.5116  0.1850  0.0609
O  0.5808  0.7210  0.3923
O  0.6972  0.4240  0.7203
O  0.7337  0.5275  0.3636
O  0.7845  0.4639  0.9965
O  0.8107  0.1634  0.5121
O  0.9767  0.9884  0.9258

Output
The space group is P-1. As for the magnetic moment: 1.0 μB/f.u. The mass density is 2.3 g cm⁻³. As for the total energy: -6.445 eV/atom.